{"formula": "LuAlGe", "functional": "PBE", "state": "relaxed", "cell": [[-1.996, 1.996, 4.119], [1.996, -1.996, 4.119], [1.996, 1.996, -4.119]], "species": ["Lu", "Al", "Ge"], "frac_coords": [[0.000, 0.000, 0.000], [0.349, 0.349, 0.000], [0.654, 0.654, 0.000]], "crystal_system": "tetragonal", "e_form_mev_per_atom": -161, "final_energy_ev_per_atom": -4.45}